Record 1
Here is an optimized crystal structure of Mo3IO from Alexandria via LeMat-Bulk. Energies are from PBE+U.

Cell and atoms, written as POSCAR:
```
Mo3IO
1.0
4.343 0.000 0.000
0.000 4.343 0.000
0.000 0.000 4.343
O Mo I
1 3 1
Cartesian
0.000 0.000 0.000
0.000 2.171 0.000
2.171 0.000 0.000
0.000 0.000 2.171
2.171 2.171 2.171
```

Output
Calculated total energy: -4.440 eV per atom

---

Record 2
Here is an optimized crystal structure of MoIO3 from Alexandria via LeMat-Bulk. Energies are from PBE+U.

Cell and atoms, written as POSCAR:
```
MoIO3
1.0
4.168 0.000 0.000
0.000 4.168 0.000
0.000 0.000 4.168
O I Mo
3 1 1
Cartesian
0.000 2.084 0.000
2.084 0.000 0.000
0.000 0.000 2.084
0.000 0.000 0.000
2.084 2.084 2.084
```

Output
Calculated total energy: -4.448 eV per atom

---

Record 3
Here is an optimized crystal structure of Mo2IO8 from Alexandria via LeMat-Bulk. Energies are from PBE+U.

Cell and atoms, written as POSCAR:
```
Mo2IO8
1.0
-3.756 4.614 3.507
-5.005 -1.004 -3.299
-4.409 -3.988 1.265
O Mo I
8 2 1
Cartesian
-4.065 -1.939 0.978
-9.105 1.561 0.495
-4.375 -0.386 -1.396
-3.547 1.043 1.145
-6.260 1.620 1.877
-6.910 -1.998 -0.404
-8.795 0.009 2.869
-9.623 -1.421 0.327
-8.547 -2.517 -0.530
-4.623 2.139 2.002
0.000 0.000 0.000
```

Output
Calculated total energy: -5.938 eV per atom

---

Record 4
Here is an optimized crystal structure of MoIO3 from Alexandria via LeMat-Bulk. Energies are from PBE+U.

Cell and atoms, written as POSCAR:
```
MoIO3
1.0
-1.379 3.747 0.616
-3.085 -0.723 -2.507
-2.215 -1.326 3.107
O Mo I
3 1 1
Cartesian
-1.108 -0.663 1.554
-1.542 -0.361 -1.254
-0.689 1.874 0.308
0.000 0.000 0.000
-3.339 0.849 0.608
```

Output
Calculated total energy: -5.173 eV per atom

---

no.,size of the total moment (μB per cell),V (Å³/atom)
1,3.2,16.38
2,4.8,14.48
3,1.0,18.63
4,0.8,13.19